# 1
Material: Ce2DyHg2
Method: DFT, GGA-PBE
State: optimized geometry

POSCAR file:
```
Ce2DyHg2
1.0
3.421 0.000 0.000
0.000 8.974 0.000
0.000 0.000 8.974
Hg Dy Ce
4 2 4
Cartesian
1.711 1.674 2.813
1.711 7.299 6.161
1.711 6.161 1.674
1.711 2.813 7.299
0.000 4.487 4.487
0.000 0.000 0.000
0.000 0.965 5.452
0.000 3.522 0.965
0.000 5.452 8.009
0.000 8.009 3.522
```

* energy: -3.56 eV per atom
* DOS at the Fermi energy: 1.987 states/eV/atom
* DFT formation energy: -0.146 eV per atom
* space-group type: P4/mbm

# 2
Material: TaTe2Mo
Method: DFT, GGA-PBE
State: optimized geometry

POSCAR file:
```
TaTe2Mo
1.0
7.416 -1.274 0.605
-5.212 3.864 -1.795
1.315 -1.494 4.842
Te Ta Mo
2 1 1
Cartesian
6.288 -1.738 3.509
3.707 0.489 3.410
-3.329 2.786 0.260
-0.796 2.753 -0.591
```

* energy: -7.12 eV per atom
* energy above the lowest structure with this stoichiometry: 0.307 eV/atom
* formation energy from raw total energies: 124 meV/atom
* DOS at the Fermi energy: 0.364 states/eV/atom
* space-group type: P1